Entry 1:
A relaxed structure of BaSn2Pt2, computed with PBE.

Output
Density   10.44 g cm⁻³
Calculated total energy   -4.80 eV/atom

Cell lengths 8.2661, 8.2661, 3.5603 Å; angles 90.00, 90.00, 90.00 degrees
Closest atoms and distances in Å follow each position.
Fractional coordinates of all 10 atoms:
Ba 0.0000 0.0000 0.0000  4 Pt 3.27, 2 Ba 3.56, 8 Sn 3.63
Ba 0.5000 0.5000 0.0000  4 Pt 3.27, 2 Ba 3.56, 8 Sn 3.63
Sn 0.1475 0.3525 0.5000  6 Pt 2.87-3.21
Sn 0.3525 0.8525 0.5000  6 Pt 2.87-3.21
Sn 0.6475 0.1475 0.5000  6 Pt 2.87-3.21
Sn 0.8525 0.6475 0.5000  6 Pt 2.87-3.21
Pt 0.1239 0.6239 0.0000  6 Sn 2.87-3.21, 1 Pt 2.90
Pt 0.3761 0.1239 0.0000  6 Sn 2.87-3.21, 1 Pt 2.90
Pt 0.6239 0.8761 0.0000  6 Sn 2.87-3.21, 1 Pt 2.90
Pt 0.8761 0.3761 0.0000  6 Sn 2.87-3.21, 1 Pt 2.90

***

Entry 2:
A relaxed structure of Ti6InBi3, computed with PBE.

Output
Density   7.94 g cm⁻³
Calculated total energy   -6.20 eV/atom

Cell lengths 8.1406, 8.1406, 7.1746 Å; angles 90.00, 90.00, 115.11 degrees
Closest atoms and distances in Å follow each position.
Fractional coordinates of all 20 atoms:
Ti 0.0036 0.4409 0.0038  5 Ti 2.80-3.01, 2 Bi 2.91, 2 In 2.94-3.06
Ti 0.0605 0.9395 0.5000  1 In 2.85, 2 Ti 2.91, 4 Bi 2.96-3.04
Ti 0.2138 0.3931 0.3037  3 Ti 2.73-3.01, 3 Bi 2.81-2.90, 1 In 3.00
Ti 0.2603 0.7397 0.2331  6 Ti 2.73-2.95, 3 Bi 2.90-2.92
Ti 0.3931 0.2138 0.8037  3 Ti 2.73-3.01, 3 Bi 2.81-2.90, 1 In 3.00
Ti 0.4409 0.0036 0.5038  5 Ti 2.80-3.01, 2 Bi 2.91, 2 In 2.94-3.06
Ti 0.5591 0.9964 0.0038  5 Ti 2.80-3.01, 2 Bi 2.91, 2 In 2.94-3.06
Ti 0.6069 0.7862 0.3037  3 Ti 2.73-3.01, 3 Bi 2.81-2.90, 1 In 3.00
Ti 0.7397 0.2603 0.7331  6 Ti 2.73-2.95, 3 Bi 2.90-2.92
Ti 0.7862 0.6069 0.8037  3 Ti 2.73-3.01, 3 Bi 2.81-2.90, 1 In 3.00
Ti 0.9395 0.0605 0.0000  1 In 2.85, 2 Ti 2.91, 4 Bi 2.96-3.04
Ti 0.9964 0.5591 0.5038  5 Ti 2.80-3.01, 2 Bi 2.91, 2 In 2.94-3.06
In 0.1921 0.8079 0.8072  7 Ti 2.85-3.06
In 0.8079 0.1921 0.3072  7 Ti 2.85-3.06
Bi 0.1063 0.2969 0.6750  7 Ti 2.81-3.04
Bi 0.2969 0.1063 0.1750  7 Ti 2.81-3.04
Bi 0.4273 0.5727 0.9802  7 Ti 2.90-3.15
Bi 0.5727 0.4273 0.4802  7 Ti 2.90-3.15
Bi 0.7031 0.8937 0.6750  7 Ti 2.81-3.04
Bi 0.8937 0.7031 0.1750  7 Ti 2.81-3.04

***

Entry 3:
A relaxed structure of Lu2FeAg, computed with PBE.

Output
Excess energy over the best structure of this formula in the dataset   0.1127 eV/atom
Density   10.80 g cm⁻³
Calculated total energy   -5.16 eV/atom

Cell lengths 4.8165, 4.8165, 4.8165 Å; angles 60.00, 60.00, 60.00 degrees
Closest atoms and distances in Å follow each position.
Fractional coordinates of all 4 atoms:
Lu 0.2500 0.2500 0.2500  4 Ag 2.95, 4 Fe 2.95
Lu 0.7500 0.7500 0.7500  4 Ag 2.95, 4 Fe 2.95
Fe 0.0000 0.0000 0.0000  8 Lu 2.95
Ag 0.5000 0.5000 0.5000  8 Lu 2.95

***

Entry 4:
A relaxed structure of PmHo4In5, computed with PBE.

Output
Density   8.57 g cm⁻³
Calculated total energy   -4.14 eV/atom

Cell lengths 3.7561, 3.7561, 18.9366 Å; angles 90.00, 90.00, 90.00 degrees
Closest atoms and distances in Å follow each position.
Fractional coordinates of all 10 atoms:
Pm 0.0000 0.0000 0.0000  8 In 3.34
Ho 0.0000 0.0000 0.2048  8 In 3.24-3.25
Ho 0.0000 0.0000 0.4017  8 In 3.24
Ho 0.0000 0.0000 0.5983  8 In 3.24
Ho 0.0000 0.0000 0.7952  8 In 3.24-3.25
In 0.5000 0.5000 0.1067  4 Ho 3.24, 4 Pm 3.34
In 0.5000 0.5000 0.3033  8 Ho 3.24-3.25
In 0.5000 0.5000 0.5000  8 Ho 3.24
In 0.5000 0.5000 0.6967  8 Ho 3.24-3.25
In 0.5000 0.5000 0.8933  4 Ho 3.24, 4 Pm 3.34

***

Entry 5:
A relaxed structure of CaYAl, computed with PBE.

Output
Excess energy over the best structure of this formula in the dataset   0.0584 eV/atom
Density   3.01 g cm⁻³
Calculated total energy   -4.26 eV/atom

Cell lengths 7.0287, 7.0287, 7.2940 Å; angles 105.30, 105.30, 29.76 degrees
Closest atoms and distances in Å follow each position.
Fractional coordinates of all 6 atoms:
Ca 0.1454 0.1454 0.3192  4 Al 3.17-3.21
Ca 0.8546 0.8546 0.6808  4 Al 3.17-3.21
Y 0.1358 0.1358 0.8245  4 Al 3.10-3.14
Y 0.8642 0.8642 0.1755  4 Al 3.10-3.14
Al 0.5000 0.5000 0.0000  4 Y 3.10, 4 Ca 3.17
Al 0.5000 0.5000 0.5000  4 Y 3.14, 4 Ca 3.21

***

Entry 6:
A relaxed structure of Ca3TlP, computed with PBE.

Output
Excess energy over the best structure of this formula in the dataset   0.0577 eV/atom
Density   3.98 g cm⁻³
Calculated total energy   -3.42 eV/atom

Cell lengths 10.5095, 5.5909, 11.8385 Å; angles 90.00, 121.37, 90.00 degrees
Closest atoms and distances in Å follow each position.
Fractional coordinates of all 20 atoms:
Ca 0.0470 0.1735 0.3767  4 P 2.84-3.11
Ca 0.0470 0.3265 0.8767  4 P 2.84-3.11
Ca 0.2492 0.6242 0.5808  2 P 2.91-3.04
Ca 0.2492 0.8758 0.0808  2 P 2.91-3.04
Ca 0.3507 0.1445 0.8168  1 P 2.84, 1 Tl 3.17
Ca 0.3507 0.3555 0.3168  1 P 2.84, 1 Tl 3.17
Ca 0.6493 0.6445 0.6832  1 P 2.84, 1 Tl 3.17
Ca 0.6493 0.8555 0.1832  1 P 2.84, 1 Tl 3.17
Ca 0.7508 0.1242 0.9192  2 P 2.91-3.04
Ca 0.7508 0.3758 0.4192  2 P 2.91-3.04
Ca 0.9530 0.6735 0.1233  4 P 2.84-3.11
Ca 0.9530 0.8265 0.6233  4 P 2.84-3.11
Tl 0.4486 0.1319 0.5971  7 Ca 3.17-3.47, 1 Tl 3.35
Tl 0.4486 0.3681 0.0971  7 Ca 3.17-3.47, 1 Tl 3.35
Tl 0.5514 0.6319 0.9029  7 Ca 3.17-3.47, 1 Tl 3.35
Tl 0.5514 0.8681 0.4029  7 Ca 3.17-3.47, 1 Tl 3.35
P 0.0555 0.1993 0.1356  7 Ca 2.84-3.11
P 0.0555 0.3007 0.6356  7 Ca 2.84-3.11
P 0.9445 0.6993 0.3644  7 Ca 2.84-3.11
P 0.9445 0.8007 0.8644  7 Ca 2.84-3.11